(1)
AcNiF2 after structural relaxation, computed with PBE+U.

abc: 3.598 3.598 22.437
angles: 90.00 90.00 120.00
Element x y z (fractional)
Ac (0.000, 0.000, 0.000)
Ac (0.333, 0.667, 0.667)
Ac (0.667, 0.333, 0.333)
Ni (0.000, 0.000, 0.500)
Ni (0.333, 0.667, 0.167)
Ni (0.667, 0.333, 0.833)
F (0.000, 0.000, 0.407)
F (0.000, 0.000, 0.593)
F (0.333, 0.667, 0.074)
F (0.333, 0.667, 0.260)
F (0.667, 0.333, 0.740)
F (0.667, 0.333, 0.926)

***

(2)
AcNi2F8 after structural relaxation, computed with PBE+U.

abc: 4.184 6.167 6.184
angles: 81.29 80.91 81.01
Element x y z (fractional)
Ac (0.000, 0.000, 0.000)
Ni (0.297, 0.378, 0.379)
Ni (0.703, 0.622, 0.621)
F (0.223, 0.603, 0.603)
F (0.244, 0.151, 0.622)
F (0.246, 0.622, 0.152)
F (0.391, 0.162, 0.162)
F (0.609, 0.838, 0.838)
F (0.754, 0.378, 0.848)
F (0.756, 0.849, 0.378)
F (0.777, 0.397, 0.397)

***

no.,final energy (Ha/atom)
1,-0.158
2,-0.177